A plane-wave DFT calculation with GGA+U was carried out for a relaxed KLiNiF6 crystal.

a b c (Å): 5.1575 5.1575 11.3897
angles (deg): 90.00 90.00 120.00
Positions (direct):
1 K 0.0000 0.0000 0.0000
2 K 0.0000 0.0000 0.5000
3 Li 0.3333 0.6667 0.2500
4 Li 0.6667 0.3333 0.7500
5 Ni 0.3333 0.6667 0.7500
6 Ni 0.6667 0.3333 0.2500
7 F 0.0375 0.3900 0.6594
8 F 0.0375 0.6475 0.8406
9 F 0.3525 0.3900 0.8406
10 F 0.3525 0.9625 0.6594
11 F 0.3900 0.0375 0.1594
12 F 0.3900 0.3525 0.3406
13 F 0.6100 0.6475 0.6594
14 F 0.6100 0.9625 0.8406
15 F 0.6475 0.0375 0.3406
16 F 0.6475 0.6100 0.1594
17 F 0.9625 0.3525 0.1594
18 F 0.9625 0.6100 0.3406

Values from the calculation:
- E (eV per atom) = -4.01
- M_tot (μB per formula unit) = 0.05